! PBE Ac4CdHgN, optimized geometry; values from VASP
&SYSTEM
  ibrav = 0, nat = 14, ntyp = 4
/
ATOMIC_SPECIES
Ac 227.00 Ac.upf
Cd 112.41 Cd.upf
Hg 200.59 Hg.upf
N 14.01 N.upf
CELL_PARAMETERS angstrom
3.807 -8.059 0.000
3.807 8.059 0.000
0.000 0.000 7.610
ATOMIC_POSITIONS angstrom
Ac 1.904 4.030 0.000
Ac 1.904 4.030 3.805
Ac 3.807 6.788 5.707
Ac 3.807 1.341 5.707
Ac 1.904 -4.030 0.000
Ac 1.904 -4.030 3.805
Ac 3.807 -1.341 1.902
Ac 3.807 -6.788 1.902
Cd 3.807 1.944 1.902
Cd 3.807 -1.944 5.707
Hg 3.807 6.097 1.902
Hg 3.807 -6.097 5.707
N 3.807 3.978 5.707
N 3.807 -3.978 1.902
! **Calculated volume**: 33.35 A^3/atom
! **Magnetization**: 0.0 μB per cell
! **E_form (uncorrected)**: -0.4952 eV/atom

! PBE NaAcCd2Hg4, optimized geometry; values from VASP
&SYSTEM
  ibrav = 0, nat = 8, ntyp = 4
/
ATOMIC_SPECIES
Na 22.99 Na.upf
Ac 227.00 Ac.upf
Cd 112.41 Cd.upf
Hg 200.59 Hg.upf
CELL_PARAMETERS angstrom
2.596 1.499 8.914
-2.596 1.499 8.914
0.000 -2.998 8.914
ATOMIC_POSITIONS angstrom
Na 0.000 0.000 0.000
Ac 0.000 0.000 13.370
Cd 0.000 0.000 6.765
Cd 0.000 0.000 19.976
Hg 0.000 0.000 3.060
Hg 0.000 0.000 9.906
Hg 0.000 0.000 16.835
Hg 0.000 0.000 23.681
! **Calculated volume**: 26.01 A^3/atom
! **Formation energy**: -0.28 eV/atom
! **Magnetization**: 0.0 μB per cell

! PBE NaAcCdHg, optimized geometry; values from VASP
&SYSTEM
  ibrav = 0, nat = 16, ntyp = 4
/
ATOMIC_SPECIES
Na 22.99 Na.upf
Ac 227.00 Ac.upf
Cd 112.41 Cd.upf
Hg 200.59 Hg.upf
CELL_PARAMETERS angstrom
7.804 0.000 0.000
0.000 7.804 0.000
0.000 0.000 7.804
ATOMIC_POSITIONS angstrom
Na 0.000 0.000 0.000
Na 0.000 3.902 3.902
Na 3.902 0.000 3.902
Na 3.902 3.902 0.000
Ac 0.000 0.000 3.902
Ac 0.000 3.902 0.000
Ac 3.902 0.000 0.000
Ac 3.902 3.902 3.902
Cd 1.951 1.951 1.951
Cd 1.951 5.853 5.853
Cd 5.853 1.951 5.853
Cd 5.853 5.853 1.951
Hg 1.951 1.951 5.853
Hg 1.951 5.853 1.951
Hg 5.853 1.951 1.951
Hg 5.853 5.853 5.853
! **Calculated volume**: 29.71 A^3/atom
! **Formation energy**: -0.28 eV/atom
! **Magnetization**: 0.0 μB per cell

! PBE Na2AcCd2Hg2, optimized geometry; values from VASP
&SYSTEM
  ibrav = 0, nat = 7, ntyp = 4
/
ATOMIC_SPECIES
Na 22.99 Na.upf
Ac 227.00 Ac.upf
Cd 112.41 Cd.upf
Hg 200.59 Hg.upf
CELL_PARAMETERS angstrom
2.535 1.464 9.110
-2.535 1.464 9.110
0.000 -2.928 9.110
ATOMIC_POSITIONS angstrom
Na 0.000 0.000 3.688
Na 0.000 0.000 23.642
Ac 0.000 0.000 0.000
Cd 0.000 0.000 7.087
Cd 0.000 0.000 20.243
Hg 0.000 0.000 11.039
Hg 0.000 0.000 16.291
! **Calculated volume**: 28.98 A^3/atom
! **Formation energy**: -0.25 eV/atom
! **Magnetization**: 0.0 μB per cell

! PBE AcNd2CdHg4, optimized geometry; values from VASP
&SYSTEM
  ibrav = 0, nat = 8, ntyp = 4
/
ATOMIC_SPECIES
Ac 227.00 Ac.upf
Nd 144.24 Nd.upf
Cd 112.41 Cd.upf
Hg 200.59 Hg.upf
CELL_PARAMETERS angstrom
2.623 1.514 9.633
-2.623 1.514 9.633
0.000 -3.029 9.633
ATOMIC_POSITIONS angstrom
Ac 0.000 0.000 0.000
Nd 0.000 0.000 6.802
Nd 0.000 0.000 22.097
Cd 0.000 0.000 14.450
Hg 0.000 0.000 3.599
Hg 0.000 0.000 11.115
Hg 0.000 0.000 17.784
Hg 0.000 0.000 25.300
! **Calculated volume**: 28.70 A^3/atom
! **Formation energy**: -0.41 eV/atom
! **Magnetization**: 0.0 μB per cell

! PBE AcNdCd2Hg4, optimized geometry; values from VASP
&SYSTEM
  ibrav = 0, nat = 8, ntyp = 4
/
ATOMIC_SPECIES
Ac 227.00 Ac.upf
Nd 144.24 Nd.upf
Cd 112.41 Cd.upf
Hg 200.59 Hg.upf
CELL_PARAMETERS angstrom
2.645 1.527 8.662
-2.645 1.527 8.662
0.000 -3.054 8.662
ATOMIC_POSITIONS angstrom
Ac 0.000 0.000 0.000
Nd 0.000 0.000 12.993
Cd 0.000 0.000 6.489
Cd 0.000 0.000 19.497
Hg 0.000 0.000 3.346
Hg 0.000 0.000 9.846
Hg 0.000 0.000 16.140
Hg 0.000 0.000 22.640
! **Calculated volume**: 26.23 A^3/atom
! **Formation energy**: -0.41 eV/atom
! **Magnetization**: 0.0 μB per cell

! PBE AcNdCdHg, optimized geometry; values from VASP
&SYSTEM
  ibrav = 0, nat = 16, ntyp = 4
/
ATOMIC_SPECIES
Ac 227.00 Ac.upf
Nd 144.24 Nd.upf
Cd 112.41 Cd.upf
Hg 200.59 Hg.upf
CELL_PARAMETERS angstrom
7.920 0.000 0.000
0.000 7.920 0.000
0.000 0.000 7.920
ATOMIC_POSITIONS angstrom
Ac 0.000 0.000 0.000
Ac 0.000 3.960 3.960
Ac 3.960 0.000 3.960
Ac 3.960 3.960 0.000
Nd 0.000 0.000 3.960
Nd 0.000 3.960 0.000
Nd 3.960 0.000 0.000
Nd 3.960 3.960 3.960
Cd 1.980 1.980 1.980
Cd 1.980 5.940 5.940
Cd 5.940 1.980 5.940
Cd 5.940 5.940 1.980
Hg 1.980 1.980 5.940
Hg 1.980 5.940 1.980
Hg 5.940 1.980 1.980
Hg 5.940 5.940 5.940
! **Calculated volume**: 31.05 A^3/atom
! **Formation energy**: -0.36 eV/atom
! **Magnetization**: 3.1 μB per cell
! **Offset from the most stable computed form**: 0.018 eV per atom

! PBE AcNdCdHg, optimized geometry; values from VASP
&SYSTEM
  ibrav = 0, nat = 4, ntyp = 4
/
ATOMIC_SPECIES
Ac 227.00 Ac.upf
Nd 144.24 Nd.upf
Cd 112.41 Cd.upf
Hg 200.59 Hg.upf
CELL_PARAMETERS angstrom
3.945 0.000 0.000
0.000 3.945 0.000
0.000 0.000 7.943
ATOMIC_POSITIONS angstrom
Ac 0.000 0.000 0.000
Nd 0.000 0.000 3.937
Cd 1.973 1.973 5.768
Hg 1.973 1.973 2.166
! **Calculated volume**: 30.91 A^3/atom
! **Formation energy**: -0.38 eV/atom
! **Magnetization**: 0.7 μB per cell
! **Offset from the most stable computed form**: 0.000 eV per atom

no.,N(E_F) (states/eV/cell)
1,10.110
2,4.186
3,9.696
4,4.785
5,6.785
6,3.001
7,17.810
8,4.720